Density functional theory data (PBE) for Mn3SBr after structural relaxation.

Cell and atoms, written as POSCAR:
```
Mn3SBr
1.0
4.5899 0.0000 0.0000
0.0000 4.5899 0.0000
0.0000 0.0000 4.5899
Mn S Br
3 1 1
direct
0.0000 0.0000 0.5000 Mn
0.0000 0.5000 0.0000 Mn
0.5000 0.0000 0.0000 Mn
0.0000 0.0000 0.0000 S
0.5000 0.5000 0.5000 Br
```

Output
Size of the total moment in μB/cell: 12.00
VASP energy in eV per atom: -6.37
ΔE_f (raw) in kJ/mol of formula units: 143

Density functional theory data (PBE) for Zr4InAg after structural relaxation.

Cell and atoms, written as POSCAR:
```
Zr4InAg
1.0
2.1685 -6.9749 0.0000
2.1685 6.9749 0.0000
0.0000 0.0000 4.3532
Zr In Ag
4 1 1
direct
0.1664 0.8336 0.0000 Zr
0.3319 0.6681 0.5000 Zr
0.6681 0.3319 0.5000 Zr
0.8336 0.1664 0.0000 Zr
0.5000 0.5000 0.0000 In
0.0000 0.0000 0.5000 Ag
```

Output
Size of the total moment in μB/cell: 0.00
VASP energy in eV per atom: -6.79
Energy relative to the elements in eV/f.u.: -0.9

Density functional theory data (PBE) for CaTm4PuS8 after structural relaxation.

Cell and atoms, written as POSCAR:
```
CaTm4PuS8
1.0
4.0081 2.3141 6.6283
-4.0081 2.3141 6.6283
0.0000 -4.6282 6.6283
Ca Tm Pu S
1 4 1 8
direct
0.0000 0.0000 0.0000 Ca
0.1183 0.6265 0.6265 Tm
0.2490 0.2490 0.2490 Tm
0.6265 0.1183 0.6265 Tm
0.6265 0.6265 0.1183 Tm
0.6249 0.6249 0.6249 Pu
0.3754 0.3754 0.8544 S
0.3754 0.8544 0.3754 S
0.3821 0.3821 0.3821 S
0.4075 0.8691 0.8691 S
0.8544 0.3754 0.3754 S
0.8636 0.8636 0.8636 S
0.8691 0.4075 0.8691 S
0.8691 0.8691 0.4075 S
```

Output
Size of the total moment in μB/cell: 5.96
VASP energy in eV per atom: -6.73
ΔE_f (raw) in kJ/mol of formula units: -2606

Density functional theory data (PBE) for Li4Ho9In11 after structural relaxation.

Cell and atoms, written as POSCAR:
```
Li4Ho9In11
1.0
7.7396 -10.9541 0.0000
7.7396 10.9541 0.0000
0.0000 0.0000 3.4318
Li Ho In
4 9 11
direct
0.0441 0.2455 0.0000 Li
0.2455 0.0441 0.0000 Li
0.7545 0.9559 0.0000 Li
0.9559 0.7545 0.0000 Li
0.0000 0.0000 0.0000 Ho
0.1384 0.6421 0.0000 Ho
0.2798 0.4340 0.0000 Ho
0.3579 0.8616 0.0000 Ho
0.4340 0.2798 0.0000 Ho
0.5660 0.7202 0.0000 Ho
0.6421 0.1384 0.0000 Ho
0.7202 0.5660 0.0000 Ho
0.8616 0.3579 0.0000 Ho
0.0741 0.4237 0.5000 In
0.1382 0.8618 0.5000 In
0.2011 0.2011 0.5000 In
0.3471 0.6529 0.5000 In
0.4237 0.0741 0.5000 In
0.5000 0.5000 0.5000 In
0.5763 0.9259 0.5000 In
0.6529 0.3471 0.5000 In
0.7989 0.7989 0.5000 In
0.8618 0.1382 0.5000 In
0.9259 0.5763 0.5000 In
```

Output
Size of the total moment in μB/cell: 0.23
VASP energy in eV per atom: -3.66
Energy relative to the elements in eV/f.u.: -8.8

Density functional theory data (PBE) for HgPH after structural relaxation.

Cell and atoms, written as POSCAR:
```
HgPH
1.0
7.9724 0.0000 0.0000
0.0000 7.2510 0.0000
0.0000 0.0000 4.5700
Hg P H
4 4 4
direct
0.0000 0.0000 0.0000 Hg
0.0000 0.5000 0.0000 Hg
0.5000 0.0000 0.5000 Hg
0.5000 0.5000 0.5000 Hg
0.1781 0.2500 0.1897 P
0.3219 0.7500 0.6897 P
0.6781 0.2500 0.3103 P
0.8219 0.7500 0.8103 P
0.2144 0.7500 0.4379 H
0.2856 0.2500 0.9379 H
0.7144 0.7500 0.0621 H
0.7856 0.2500 0.5621 H
```

Output
Size of the total moment in μB/cell: 0.00
VASP energy in eV per atom: -2.96

Density functional theory data (PBE) for Fe2OsSe after structural relaxation.

Cell and atoms, written as POSCAR:
```
Fe2OsSe
1.0
2.8423 0.0000 0.0000
0.0000 2.8423 0.0000
0.0000 0.0000 6.5198
Fe Os Se
2 1 1
direct
0.0000 0.0000 0.2438 Fe
0.0000 0.0000 0.7562 Fe
0.5000 0.5000 0.5000 Os
0.5000 0.5000 0.0000 Se
```

Output
Size of the total moment in μB/cell: 3.46
VASP energy in eV per atom: -7.61
ΔE_f (raw) in kJ/mol of formula units: 115

Density functional theory data (PBE) for Ac2CuBO5 after structural relaxation.

Cell and atoms, written as POSCAR:
```
Ac2CuBO5
1.0
7.1850 0.0000 0.0000
0.0000 7.1850 0.0000
0.0000 0.0000 5.1618
Ac Cu B O
4 2 2 10
direct
0.1843 0.3157 0.0000 Ac
0.3157 0.8157 0.0000 Ac
0.6843 0.1843 0.0000 Ac
0.8157 0.6843 0.0000 Ac
0.0000 0.0000 0.5000 Cu
0.5000 0.5000 0.5000 Cu
0.0000 0.5000 0.5000 B
0.5000 0.0000 0.5000 B
0.0000 0.0000 0.0000 O
0.1105 0.6105 0.2822 O
0.1105 0.6105 0.7178 O
0.3895 0.1105 0.2822 O
0.3895 0.1105 0.7178 O
0.5000 0.5000 0.0000 O
0.6105 0.8895 0.2822 O
0.6105 0.8895 0.7178 O
0.8895 0.3895 0.2822 O
0.8895 0.3895 0.7178 O
```

Output
Size of the total moment in μB/cell: 0.00
VASP energy in eV per atom: -6.85
ΔE_f (raw) in kJ/mol of formula units: -1722

Density functional theory data (PBE) for Cs2BiOsO6 after structural relaxation.

Cell and atoms, written as POSCAR:
```
Cs2BiOsO6
1.0
6.6740 0.0000 0.0000
-3.3370 5.7798 0.0000
0.0000 0.0000 5.9599
Cs Bi Os O
2 1 1 6
direct
0.3333 0.6667 0.3538 Cs
0.6667 0.3333 0.6462 Cs
0.0000 0.0000 0.0000 Bi
0.0000 0.0000 0.5000 Os
0.1313 0.2627 0.6993 O
0.1313 0.8687 0.6993 O
0.2627 0.1313 0.3007 O
0.7373 0.8687 0.6993 O
0.8687 0.1313 0.3007 O
0.8687 0.7373 0.3007 O
```

Output
Size of the total moment in μB/cell: 1.03
VASP energy in eV per atom: -5.88
ΔE_f (raw) in kJ/mol of formula units: -1184

Density functional theory data (PBE) for YAs2Pb after structural relaxation.

Cell and atoms, written as POSCAR:
```
YAs2Pb
1.0
3.8973 0.0000 0.0000
0.0000 3.8973 0.0000
0.0000 0.0000 6.3991
Y As Pb
1 2 1
direct
0.0000 0.0000 0.0000 Y
0.5000 0.5000 0.2086 As
0.5000 0.5000 0.7914 As
0.0000 0.0000 0.5000 Pb
```

Output
Size of the total moment in μB/cell: 0.00
VASP energy in eV per atom: -5.44
Energy relative to the elements in eV/f.u.: -2.3

Density functional theory data (PBE) for RbCd2Br5 after structural relaxation.

Cell and atoms, written as POSCAR:
```
RbCd2Br5
1.0
3.0195 -9.1216 0.0000
3.0195 9.1216 0.0000
0.0000 0.0000 13.0038
Rb Cd Br
2 4 10
direct
0.0790 0.9210 0.7500 Rb
0.9210 0.0790 0.2500 Rb
0.2109 0.7891 0.0930 Cd
0.2109 0.7891 0.4070 Cd
0.7891 0.2109 0.5930 Cd
0.7891 0.2109 0.9070 Cd
0.0723 0.9277 0.0907 Br
0.0723 0.9277 0.4093 Br
0.2719 0.7281 0.5918 Br
0.2719 0.7281 0.9082 Br
0.3088 0.6912 0.2500 Br
0.6912 0.3088 0.7500 Br
0.7281 0.2719 0.0918 Br
0.7281 0.2719 0.4082 Br
0.9277 0.0723 0.5907 Br
0.9277 0.0723 0.9093 Br
```

Output
Size of the total moment in μB/cell: 0.00
VASP energy in eV per atom: -2.41
ΔE_f (raw) in kJ/mol of formula units: -786

Density functional theory data (PBE) for Th2NiAu after structural relaxation.

Cell and atoms, written as POSCAR:
```
Th2NiAu
1.0
2.0861 1.2044 6.9287
-2.0861 1.2044 6.9287
0.0000 -2.4088 6.9287
Th Ni Au
2 1 1
direct
0.0000 0.0000 0.0000 Th
0.1932 0.1932 0.1932 Th
0.5981 0.5981 0.5981 Ni
0.7632 0.7632 0.7632 Au
```

Output
Size of the total moment in μB/cell: 0.00
VASP energy in eV per atom: -6.38
Energy relative to the elements in eV/f.u.: -1.6

Density functional theory data (PBE) for Pm3Nd2Ga2 after structural relaxation.

Cell and atoms, written as POSCAR:
```
Pm3Nd2Ga2
1.0
6.1704 -2.1168 0.0000
6.1704 2.1168 0.0000
-3.5219 0.0000 8.1198
Pm Nd Ga
3 2 2
direct
0.0000 0.0000 0.0000 Pm
0.1205 0.1205 0.4385 Pm
0.8795 0.8795 0.5615 Pm
0.3465 0.3465 0.1866 Nd
0.6535 0.6535 0.8134 Nd
0.3284 0.3284 0.7851 Ga
0.6716 0.6716 0.2149 Ga
```

Output
Size of the total moment in μB/cell: 0.00
VASP energy in eV per atom: -4.56
Energy relative to the elements in eV/f.u.: -2.1